DFT (PBE-GGA) results for a relaxed structure of K3TbSm2O6.

The structure in POSCAR format:
```
K3TbSm2O6
1.0
6.167 -0.001 0.000
-3.083 5.341 0.000
-1.029 -1.781 6.287
K Tb Sm O
3 1 2 6
Direct
0.166 0.834 0.500
0.834 0.166 0.500
0.500 0.500 0.500
0.000 0.000 0.000
0.333 0.667 0.000
0.667 0.333 0.000
0.937 0.609 0.812
0.734 0.734 0.188
0.063 0.391 0.188
0.609 0.937 0.812
0.266 0.266 0.812
0.391 0.063 0.188
```

N(E_F) (states/eV/atom): 0.00
Crystal system: monoclinic
E_form (uncorrected) (eV/f.u.): -32.30
Total magnetization (μB per formula unit): 0.0